! AcTb2Be PBE relaxed; values from VASP
! Distance to the lowest polymorph of the same formula, eV/atom: 0.000
! Final energy, eV/atom: -4.158
! Energy of formation, eV/atom: 0.12
! V, Å³/atom: 28.6
! Total magnetization, μB/atom: 0.000
&SYSTEM
  ibrav = 0, nat = 4, ntyp = 3
/
ATOMIC_SPECIES
Ac 227.00 Ac.upf
Tb 158.93 Tb.upf
Be 9.01 Be.upf
CELL_PARAMETERS angstrom
3.561 0.000 0.000
0.000 3.561 0.000
0.000 0.000 9.036
ATOMIC_POSITIONS crystal
Ac 0.000 0.000 0.000
Tb 0.500 0.500 0.322
Tb 0.500 0.500 0.678
Be 0.000 0.000 0.500